# LaNd2DyH (PBE, relaxed)
data_LaNd2DyH
_space_group_name_H-M_alt 'P 4/m m m'
_space_group_IT_number 123
_space_group_name_Hall '-P 4 2'
_cell_length_a 5.168
_cell_length_b 5.168
_cell_length_c 5.114
_cell_angle_alpha 90.00
_cell_angle_beta 90.00
_cell_angle_gamma 90.00
loop_
_atom_site_label
_atom_site_type_symbol
_atom_site_fract_x
_atom_site_fract_y
_atom_site_fract_z
_atom_site_occupancy
La1 La 0.000 0.000 0.000 1
Nd1 Nd 0.000 0.500 0.500 1
Dy1 Dy 0.500 0.500 0.000 1
H1 H 0.500 0.500 0.500 1
# total magnetization	0.0	μB per formula unit
# mass density	7.18	g cm⁻³
# energy	-4.657	eV/atom

# ZrSb2Se (PBE, relaxed)
data_ZrSb2Se
_space_group_name_H-M_alt 'C 1 m 1'
_space_group_IT_number 8
_cell_length_a 10.912
_cell_length_b 3.819
_cell_length_c 5.503
_cell_angle_alpha 90.00
_cell_angle_beta 115.22
_cell_angle_gamma 90.00
loop_
_space_group_symop_operation_xyz
'x,y,z'
'x,-y,z'
'x+1/2,y+1/2,z'
'x+1/2,-y+1/2,z'
loop_
_atom_site_label
_atom_site_type_symbol
_atom_site_fract_x
_atom_site_fract_y
_atom_site_fract_z
_atom_site_occupancy
Zr1 Zr 0.000 0.000 0.000 1
Sb1 Sb 0.029 0.500 0.434 1
Sb2 Sb 0.216 0.500 0.995 1
Se1 Se 0.348 0.000 0.636 1
# uncorrected formation energy	-0.45	eV/atom
# total magnetization	0.0	μB per formula unit
# mass density	6.62	g cm⁻³

# LiLa2Mg2 (PBE, relaxed)
data_LiLa2Mg2
_space_group_name_H-M_alt 'P 4/m b m'
_space_group_IT_number 127
_space_group_name_Hall '-P 4 2ab'
_cell_length_a 9.647
_cell_length_b 9.647
_cell_length_c 3.477
_cell_angle_alpha 90.00
_cell_angle_beta 90.00
_cell_angle_gamma 90.00
loop_
_atom_site_label
_atom_site_type_symbol
_atom_site_fract_x
_atom_site_fract_y
_atom_site_fract_z
_atom_site_occupancy
Li1 Li 0.000 0.000 0.000 1
La1 La 0.116 0.384 0.000 1
Mg1 Mg 0.177 0.677 0.500 1
# total magnetization	0.0	μB per formula unit
# energy above the lowest structure with this stoichiometry	0.172	eV/atom
# ΔH_f (0 K)	0.174	eV/atom
# mass density	3.42	g cm⁻³

# Th2IrO (PBE, relaxed)
data_Th2IrO
_space_group_name_H-M_alt 'R -3 m'
_space_group_IT_number 166
_space_group_name_Hall '-R 3 2"'
_cell_length_a 4.2857
_cell_length_b 4.2857
_cell_length_c 22.0265
_cell_angle_alpha 90.00
_cell_angle_beta 90.00
_cell_angle_gamma 120.00
loop_
_atom_site_label
_atom_site_type_symbol
_atom_site_fract_x
_atom_site_fract_y
_atom_site_fract_z
_atom_site_occupancy
Th1 Th 0.0000 0.0000 0.0977 1
Ir1 Ir 0.0000 0.0000 0.5000 1
O1 O 0.0000 0.0000 0.0000 1
# uncorrected formation energy	-1.72	eV/atom
# total magnetization	0.0	μB per formula unit
# mass density	9.56	g cm⁻³

# TbPmLuTh (PBE, relaxed)
data_TbPmLuTh
_space_group_name_H-M_alt 'F -4 3 m'
_space_group_IT_number 216
_space_group_name_Hall 'F -4 2 3'
_cell_length_a 8.026
_cell_length_b 8.026
_cell_length_c 8.026
_cell_angle_alpha 90.00
_cell_angle_beta 90.00
_cell_angle_gamma 90.00
loop_
_atom_site_label
_atom_site_type_symbol
_atom_site_fract_x
_atom_site_fract_y
_atom_site_fract_z
_atom_site_occupancy
Tb1 Tb 0.000 0.000 0.000 1
Pm1 Pm 0.250 0.250 0.750 1
Lu1 Lu 0.250 0.250 0.250 1
Th1 Th 0.000 0.000 0.500 1
# total magnetization	0.0	μB per formula unit
# ΔH_f (0 K)	0.166	eV/atom
# mass density	9.13	g cm⁻³

# Sc5TiGa6 (PBE, relaxed)
data_Sc5TiGa6
_space_group_name_H-M_alt 'P -1'
_space_group_IT_number 2
_cell_length_a 4.941
_cell_length_b 6.156
_cell_length_c 7.889
_cell_angle_alpha 112.87
_cell_angle_beta 95.94
_cell_angle_gamma 90.06
loop_
_space_group_symop_operation_xyz
'x,y,z'
'-x,-y,-z'
loop_
_atom_site_label
_atom_site_type_symbol
_atom_site_fract_x
_atom_site_fract_y
_atom_site_fract_z
_atom_site_occupancy
Sc1 Sc 0.000 0.000 0.000 1
Sc2 Sc 0.312 0.331 0.662 1
Sc3 Sc 0.319 0.832 0.664 1
Ti1 Ti 0.000 0.500 0.000 1
Ga1 Ga 0.183 0.417 0.319 1
Ga2 Ga 0.183 0.903 0.319 1
Ga3 Ga 0.500 0.262 0.000 1
# total magnetization	0.1	μB per formula unit
# ΔH_f (0 K)	-0.547	eV/atom
# mass density	5.22	g cm⁻³